1.
Here is an optimized crystal structure of La5Tb2Sm from Alexandria. Energies are from PBE-GGA. Values from VASP.

## Properties
Its crystal system is tetragonal. The value obtained for the energy relative to the lowest polymorph listed for this composition is 0.0000 eV per atom. The symmetry is I4/mcm, No. 140. The calculation puts the formation energy at 0.125 eV/atom.

Geometry as Quantum ESPRESSO input:
```
&SYSTEM
  ibrav = 0, nat = 16, ntyp = 3
/
ATOMIC_SPECIES
La 138.91 La.upf
Tb 158.93 Tb.upf
Sm 150.36 Sm.upf
ATOMIC_POSITIONS angstrom
La 1.345 3.166 4.669
La 5.855 -1.345 2.307
La 0.000 0.000 0.000
La 4.510 4.510 0.000
La -1.345 5.855 4.669
La 3.166 -1.345 4.669
La 5.855 1.345 4.669
La 1.345 5.855 2.307
La -1.345 3.166 2.307
La 3.166 1.345 2.307
Tb 1.309 3.201 0.000
Tb 5.820 1.309 0.000
Tb 3.201 7.711 0.000
Tb 7.711 5.820 0.000
Sm 4.510 4.510 3.488
Sm 0.000 0.000 3.488
CELL_PARAMETERS angstrom
9.021 0.000 0.000
0.000 9.021 0.000
-4.510 -4.510 6.976
```

***

2.
Here is an optimized crystal structure of La12Tb2Sm5 from Alexandria. Energies are from PBE-GGA. Values from VASP.

## Properties
Its crystal system is triclinic. The value obtained for the energy relative to the lowest polymorph listed for this composition is 0.0000 eV per atom. The symmetry is P-1, No. 2. The calculation puts the formation energy at 0.084 eV/atom.

Geometry as Quantum ESPRESSO input:
```
&SYSTEM
  ibrav = 0, nat = 19, ntyp = 3
/
ATOMIC_SPECIES
La 138.91 La.upf
Tb 158.93 Tb.upf
Sm 150.36 Sm.upf
ATOMIC_POSITIONS angstrom
La -9.397 -11.292 7.352
La -4.975 -3.274 -0.151
La -2.718 -3.218 6.479
La -7.296 -2.752 2.343
La -5.406 -3.051 8.994
La -5.079 -4.713 4.171
La -8.359 -4.855 8.199
La -6.142 -6.816 10.026
La -8.032 -6.516 3.376
La -8.463 -6.293 12.520
La -10.720 -6.349 5.890
La -4.041 1.725 5.017
Tb -4.447 -6.343 7.131
Tb -8.991 -3.224 5.238
Sm -3.181 -1.819 3.064
Sm -5.804 -1.502 5.613
Sm -1.843 1.661 2.072
Sm -7.634 -8.065 6.756
Sm -10.257 -7.749 9.305
CELL_PARAMETERS angstrom
-3.686 3.322 4.143
-6.943 -6.356 -2.266
-2.810 -6.533 10.492
```

***

What did the second record say?
Here is an optimized crystal structure of La12Tb2Sm5 from Alexandria. Energies are from PBE-GGA. Values from VASP.

## Properties
Its crystal system is triclinic. The value obtained for the energy relative to the lowest polymorph listed for this composition is 0.0000 eV per atom. The symmetry is P-1, No. 2. The calculation puts the formation energy at 0.084 eV/atom.

Geometry as Quantum ESPRESSO input:
```
&SYSTEM
  ibrav = 0, nat = 19, ntyp = 3
/
ATOMIC_SPECIES
La 138.91 La.upf
Tb 158.93 Tb.upf
Sm 150.36 Sm.upf
ATOMIC_POSITIONS angstrom
La -9.397 -11.292 7.352
La -4.975 -3.274 -0.151
La -2.718 -3.218 6.479
La -7.296 -2.752 2.343
La -5.406 -3.051 8.994
La -5.079 -4.713 4.171
La -8.359 -4.855 8.199
La -6.142 -6.816 10.026
La -8.032 -6.516 3.376
La -8.463 -6.293 12.520
La -10.720 -6.349 5.890
La -4.041 1.725 5.017
Tb -4.447 -6.343 7.131
Tb -8.991 -3.224 5.238
Sm -3.181 -1.819 3.064
Sm -5.804 -1.502 5.613
Sm -1.843 1.661 2.072
Sm -7.634 -8.065 6.756
Sm -10.257 -7.749 9.305
CELL_PARAMETERS angstrom
-3.686 3.322 4.143
-6.943 -6.356 -2.266
-2.810 -6.533 10.492
```

***

Q: Which value of formation energy does entry 2 give?
A: 0.084 eV/atom

***

Q: Which formula does entry 2 have?
A: La12Tb2Sm5